# 1
VASP calculation (PBE) on an optimized crystal structure of SnHg3H.

## Properties
* energy above the lowest structure with this stoichiometry: 0 meV/atom
* total moment: 0.00 μB/cell
* N(E_F): 0.22 states/eV per atom
* SG: P-1, No. 2

Geometry as CIF:
```
data_SnHg3H
_cell_length_a 6.433
_cell_length_b 9.067
_cell_length_c 9.899
_cell_angle_alpha 105.95
_cell_angle_beta 102.83
_cell_angle_gamma 110.28
_space_group_name_H-M_alt 'P 1'
_space_group_IT_number 1
loop_
_space_group_symop_operation_xyz
'x,y,z'
loop_
_atom_site_label
_atom_site_fract_x
_atom_site_fract_y
_atom_site_fract_z
_atom_site_occupancy
Sn1 0.170 0.457 0.112 1
Sn2 0.313 0.503 0.847 1
Sn3 0.687 0.497 0.153 1
Sn4 0.830 0.543 0.888 1
Hg1 0.078 0.168 0.610 1
Hg2 0.101 0.894 0.097 1
Hg3 0.144 0.683 0.694 1
Hg4 0.398 0.106 0.909 1
Hg5 0.415 0.825 0.373 1
Hg6 0.417 0.342 0.385 1
Hg7 0.583 0.658 0.615 1
Hg8 0.585 0.175 0.627 1
Hg9 0.602 0.894 0.091 1
Hg10 0.856 0.317 0.306 1
Hg11 0.899 0.106 0.903 1
Hg12 0.922 0.832 0.390 1
H1 0.049 0.783 0.580 1
H2 0.272 0.119 0.245 1
H3 0.728 0.881 0.755 1
H4 0.951 0.217 0.420 1
```

# 2
VASP calculation (PBE) on an optimized crystal structure of SrSn2HgH.

## Properties
* uncorrected energy: -2.81 eV per atom
* total moment: 0.00 μB/cell
* N(E_F): 0.38 states/eV per atom
* SG: P4/mmm, No. 123

Geometry as CIF:
```
data_SrSn2HgH
_cell_length_a 4.876
_cell_length_b 4.876
_cell_length_c 4.921
_cell_angle_alpha 90.00
_cell_angle_beta 90.00
_cell_angle_gamma 90.00
_space_group_name_H-M_alt 'P 1'
_space_group_IT_number 1
loop_
_space_group_symop_operation_xyz
'x,y,z'
loop_
_atom_site_label
_atom_site_fract_x
_atom_site_fract_y
_atom_site_fract_z
_atom_site_occupancy
Sr1 0.000 0.000 0.000 1
Sn1 0.000 0.500 0.500 1
Sn2 0.500 0.000 0.500 1
Hg1 0.500 0.500 0.000 1
H1 0.000 0.000 0.500 1
```

# 3
VASP calculation (PBE) on an optimized crystal structure of TlSn2HgH.

## Properties
* energy above the lowest structure with this stoichiometry: 0 meV/atom
* total moment: 0.00 μB/cell
* N(E_F): 0.44 states/eV per atom
* SG: P4/mmm, No. 123

Geometry as CIF:
```
data_TlSn2HgH
_cell_length_a 4.592
_cell_length_b 4.592
_cell_length_c 5.557
_cell_angle_alpha 90.00
_cell_angle_beta 90.00
_cell_angle_gamma 90.00
_space_group_name_H-M_alt 'P 1'
_space_group_IT_number 1
loop_
_space_group_symop_operation_xyz
'x,y,z'
loop_
_atom_site_label
_atom_site_fract_x
_atom_site_fract_y
_atom_site_fract_z
_atom_site_occupancy
Tl1 0.000 0.000 0.000 1
Sn1 0.000 0.500 0.500 1
Sn2 0.500 0.000 0.500 1
Hg1 0.500 0.500 0.000 1
H1 0.500 0.500 0.500 1
```

# 4
VASP calculation (PBE) on an optimized crystal structure of TlSnHg2H.

## Properties
* uncorrected energy: -1.90 eV per atom
* total moment: 0.00 μB/cell
* N(E_F): 0.48 states/eV per atom
* SG: P4/mmm, No. 123

Geometry as CIF:
```
data_TlSnHg2H
_cell_length_a 5.788
_cell_length_b 5.788
_cell_length_c 3.832
_cell_angle_alpha 90.00
_cell_angle_beta 90.00
_cell_angle_gamma 90.00
_space_group_name_H-M_alt 'P 1'
_space_group_IT_number 1
loop_
_space_group_symop_operation_xyz
'x,y,z'
loop_
_atom_site_label
_atom_site_fract_x
_atom_site_fract_y
_atom_site_fract_z
_atom_site_occupancy
Tl1 0.000 0.000 0.000 1
Sn1 0.500 0.500 0.500 1
Hg1 0.000 0.500 0.500 1
Hg2 0.500 0.000 0.500 1
H1 0.500 0.500 0.000 1
```